1.
# AlAg2Ir, optimized geometry, DFT PBEsol
# **Formation energy from the elements**: -90 meV/atom
data_AlAg2Ir
_symmetry_space_group_name_H-M 'I -4 m 2'
_symmetry_Int_Tables_number 119
_symmetry_space_group_name_Hall 'I -4 -2'
_cell_length_a 4.1308
_cell_length_b 4.1308
_cell_length_c 7.0914
_cell_angle_alpha 90.00
_cell_angle_beta 90.00
_cell_angle_gamma 90.00
loop_
_atom_site_label
_atom_site_type_symbol
_atom_site_fract_x
_atom_site_fract_y
_atom_site_fract_z
_atom_site_occupancy
Al1 Al 0.0000 0.0000 0.0000 1
Ag1 Ag 0.0000 0.0000 0.5000 1
Ag2 Ag 0.0000 0.5000 0.7500 1
Ir1 Ir 0.0000 0.5000 0.2500 1

=====

2.
# PrIn2Cu9, optimized geometry, DFT PBEsol
# **Formation energy from the elements**: -142 meV/atom
data_PrIn2Cu9
_symmetry_space_group_name_H-M 'P 4/m b m'
_symmetry_Int_Tables_number 127
_symmetry_space_group_name_Hall '-P 4 2ab'
_cell_length_a 8.3781
_cell_length_b 8.3781
_cell_length_c 4.9345
_cell_angle_alpha 90.00
_cell_angle_beta 90.00
_cell_angle_gamma 90.00
loop_
_atom_site_label
_atom_site_type_symbol
_atom_site_fract_x
_atom_site_fract_y
_atom_site_fract_z
_atom_site_occupancy
Pr1 Pr 0.0000 0.0000 0.0000 1
In1 In 0.1232 0.3768 0.0000 1
Cu1 Cu 0.0000 0.5000 0.5000 1
Cu2 Cu 0.0653 0.2065 0.5000 1
Cu3 Cu 0.1761 0.6761 0.2478 1

=====

3.
# BaY2TlCu, optimized geometry, DFT PBEsol
# **Formation energy from the elements**: 424 meV/atom
data_BaY2TlCu
_symmetry_space_group_name_H-M 'P 4/m m m'
_symmetry_Int_Tables_number 123
_symmetry_space_group_name_Hall '-P 4 2'
_cell_length_a 5.8100
_cell_length_b 5.8100
_cell_length_c 4.9919
_cell_angle_alpha 90.00
_cell_angle_beta 90.00
_cell_angle_gamma 90.00
loop_
_atom_site_label
_atom_site_type_symbol
_atom_site_fract_x
_atom_site_fract_y
_atom_site_fract_z
_atom_site_occupancy
Ba1 Ba 0.0000 0.0000 0.0000 1
Y1 Y 0.0000 0.5000 0.5000 1
Tl1 Tl 0.5000 0.5000 0.5000 1
Cu1 Cu 0.5000 0.5000 0.0000 1

=====

4.
# Li2ZrHg, optimized geometry, DFT PBEsol
# **Formation energy from the elements**: -56 meV/atom
data_Li2ZrHg
_symmetry_space_group_name_H-M 'P 4 m m'
_symmetry_Int_Tables_number 99
_cell_length_a 3.1813
_cell_length_b 3.1813
_cell_length_c 7.3952
_cell_angle_alpha 90.00
_cell_angle_beta 90.00
_cell_angle_gamma 90.00
loop_
_symmetry_equiv_pos_as_xyz
'x,y,z'
'-y,x,z'
'-x,-y,z'
'y,-x,z'
'-x,y,z'
'y,x,z'
'x,-y,z'
'-y,-x,z'
loop_
_atom_site_label
_atom_site_type_symbol
_atom_site_fract_x
_atom_site_fract_y
_atom_site_fract_z
_atom_site_occupancy
Li1 Li 0.0000 0.0000 0.0000 1
Li2 Li 0.5000 0.5000 0.2232 1
Zr1 Zr 0.0000 0.0000 0.5192 1
Hg1 Hg 0.5000 0.5000 0.7883 1

=====

5.
# Li5Zn24, optimized geometry, DFT PBEsol
# **Formation energy from the elements**: -102 meV/atom
data_Li5Zn24
_symmetry_space_group_name_H-M 'I -4 3 m'
_symmetry_Int_Tables_number 217
_symmetry_space_group_name_Hall 'I -4 2 3'
_cell_length_a 9.4061
_cell_length_b 9.4061
_cell_length_c 9.4061
_cell_angle_alpha 90.00
_cell_angle_beta 90.00
_cell_angle_gamma 90.00
loop_
_atom_site_label
_atom_site_type_symbol
_atom_site_fract_x
_atom_site_fract_y
_atom_site_fract_z
_atom_site_occupancy
Li1 Li 0.0000 0.0000 0.0000 1
Li2 Li 0.1802 0.1802 0.1802 1
Zn1 Zn 0.0445 0.3596 0.6404 1
Zn2 Zn 0.0923 0.0923 0.7181 1

=====

6.
# CuAsPb, optimized geometry, DFT PBEsol
# **ΔE to the lowest computed polymorph**: 0.000 eV per atom
# **Formation energy from the elements**: -4 meV/atom
data_CuAsPb
_symmetry_space_group_name_H-M 'P -6 m 2'
_symmetry_Int_Tables_number 187
_symmetry_space_group_name_Hall 'P -6 2'
_cell_length_a 4.0960
_cell_length_b 4.0960
_cell_length_c 4.3307
_cell_angle_alpha 90.00
_cell_angle_beta 90.00
_cell_angle_gamma 120.00
loop_
_atom_site_label
_atom_site_type_symbol
_atom_site_fract_x
_atom_site_fract_y
_atom_site_fract_z
_atom_site_occupancy
Cu1 Cu 0.0000 0.0000 0.0000 1
As1 As 0.6667 0.3333 0.0000 1
Pb1 Pb 0.3333 0.6667 0.5000 1

=====

7.
# VCrFe2, optimized geometry, DFT PBEsol
# **Formation energy from the elements**: -25 meV/atom
data_VCrFe2
_symmetry_space_group_name_H-M 'C m m 2'
_symmetry_Int_Tables_number 35
_cell_length_a 2.8680
_cell_length_b 3.9338
_cell_length_c 7.9484
_cell_angle_alpha 90.00
_cell_angle_beta 90.00
_cell_angle_gamma 90.00
loop_
_symmetry_equiv_pos_as_xyz
'x,y,z'
'-x,-y,z'
'-x,y,z'
'x,-y,z'
'x+1/2,y+1/2,z'
'-x+1/2,-y+1/2,z'
'-x+1/2,y+1/2,z'
'x+1/2,-y+1/2,z'
loop_
_atom_site_label
_atom_site_type_symbol
_atom_site_fract_x
_atom_site_fract_y
_atom_site_fract_z
_atom_site_occupancy
V1 V 0.0000 0.0000 0.0000 1
Cr1 Cr 0.0000 0.5000 0.2601 1
Fe1 Fe 0.0000 0.0000 0.5038 1
Fe2 Fe 0.0000 0.5000 0.7468 1

=====

8.
# NiMoW2, optimized geometry, DFT PBEsol
# **ΔE to the lowest computed polymorph**: 0.051 eV per atom
# **Formation energy from the elements**: 200 meV/atom
data_NiMoW2
_symmetry_space_group_name_H-M 'I 4/m m m'
_symmetry_Int_Tables_number 139
_symmetry_space_group_name_Hall '-I 4 2'
_cell_length_a 3.9411
_cell_length_b 3.9411
_cell_length_c 7.3961
_cell_angle_alpha 90.00
_cell_angle_beta 90.00
_cell_angle_gamma 90.00
loop_
_atom_site_label
_atom_site_type_symbol
_atom_site_fract_x
_atom_site_fract_y
_atom_site_fract_z
_atom_site_occupancy
Ni1 Ni 0.0000 0.0000 0.0000 1
Mo1 Mo 0.0000 0.0000 0.5000 1
W1 W 0.0000 0.5000 0.2500 1

=====

9.
# BiAsSe2N, optimized geometry, DFT PBEsol
# **Raw formation energy**: 0.556 eV/atom
data_BiAsSe2N
_symmetry_space_group_name_H-M 'P 4/m m m'
_symmetry_Int_Tables_number 123
_symmetry_space_group_name_Hall '-P 4 2'
_cell_length_a 4.4536
_cell_length_b 4.4536
_cell_length_c 4.5586
_cell_angle_alpha 90.00
_cell_angle_beta 90.00
_cell_angle_gamma 90.00
loop_
_atom_site_label
_atom_site_type_symbol
_atom_site_fract_x
_atom_site_fract_y
_atom_site_fract_z
_atom_site_occupancy
Bi1 Bi 0.0000 0.0000 0.0000 1
As1 As 0.5000 0.5000 0.0000 1
Se1 Se 0.0000 0.5000 0.5000 1
N1 N 0.5000 0.5000 0.5000 1

=====

10.
# YHgMo2Rh, optimized geometry, DFT PBEsol
# **Formation energy from the elements**: 2078 meV/atom
data_YHgMo2Rh
_symmetry_space_group_name_H-M 'P 4/m m m'
_symmetry_Int_Tables_number 123
_symmetry_space_group_name_Hall '-P 4 2'
_cell_length_a 4.7832
_cell_length_b 4.7832
_cell_length_c 4.7058
_cell_angle_alpha 90.00
_cell_angle_beta 90.00
_cell_angle_gamma 90.00
loop_
_atom_site_label
_atom_site_type_symbol
_atom_site_fract_x
_atom_site_fract_y
_atom_site_fract_z
_atom_site_occupancy
Y1 Y 0.0000 0.0000 0.0000 1
Hg1 Hg 0.5000 0.5000 0.5000 1
Mo1 Mo 0.0000 0.5000 0.0000 1
Rh1 Rh 0.0000 0.0000 0.5000 1

=====

11.
# CaTe2Mo, optimized geometry, DFT PBEsol
# **Raw formation energy**: -0.034 eV/atom
# **ΔE to the lowest computed polymorph**: 0.384 eV per atom
data_CaTe2Mo
_symmetry_space_group_name_H-M 'I -4 2 d'
_symmetry_Int_Tables_number 122
_symmetry_space_group_name_Hall 'I -4 2bw'
_cell_length_a 6.2050
_cell_length_b 6.2050
_cell_length_c 13.9732
_cell_angle_alpha 90.00
_cell_angle_beta 90.00
_cell_angle_gamma 90.00
loop_
_atom_site_label
_atom_site_type_symbol
_atom_site_fract_x
_atom_site_fract_y
_atom_site_fract_z
_atom_site_occupancy
Ca1 Ca 0.0000 0.0000 0.0000 1
Te1 Te 0.1850 0.2500 0.6250 1
Mo1 Mo 0.0000 0.0000 0.5000 1

=====

12.
# CuNi2Ru, optimized geometry, DFT PBEsol
# **ΔE to the lowest computed polymorph**: 0.091 eV per atom
# **Formation energy from the elements**: 164 meV/atom
data_CuNi2Ru
_symmetry_space_group_name_H-M 'P m m 2'
_symmetry_Int_Tables_number 25
_cell_length_a 2.5018
_cell_length_b 3.6132
_cell_length_c 5.0418
_cell_angle_alpha 90.00
_cell_angle_beta 90.00
_cell_angle_gamma 90.00
loop_
_symmetry_equiv_pos_as_xyz
'x,y,z'
'-x,-y,z'
'-x,y,z'
'x,-y,z'
loop_
_atom_site_label
_atom_site_type_symbol
_atom_site_fract_x
_atom_site_fract_y
_atom_site_fract_z
_atom_site_occupancy
Cu1 Cu 0.0000 0.0000 0.0000 1
Ni1 Ni 0.0000 0.0000 0.4886 1
Ni2 Ni 0.5000 0.5000 0.2370 1
Ru1 Ru 0.5000 0.5000 0.7288 1

=====

13.
# KTeBr2, optimized geometry, DFT PBEsol
# **Raw formation energy**: -0.589 eV/atom
# **ΔE to the lowest computed polymorph**: 0.041 eV per atom
data_KTeBr2
_symmetry_space_group_name_H-M 'I -4 2 d'
_symmetry_Int_Tables_number 122
_symmetry_space_group_name_Hall 'I -4 2bw'
_cell_length_a 5.6947
_cell_length_b 5.6947
_cell_length_c 18.9285
_cell_angle_alpha 90.00
_cell_angle_beta 90.00
_cell_angle_gamma 90.00
loop_
_atom_site_label
_atom_site_type_symbol
_atom_site_fract_x
_atom_site_fract_y
_atom_site_fract_z
_atom_site_occupancy
K1 K 0.0000 0.0000 0.0000 1
Te1 Te 0.0000 0.0000 0.5000 1
Br1 Br 0.1834 0.2500 0.6250 1

=====

Number 1: V 121 Å³/cell, VASP energy -5.22 eV/atom. Number 2: V 346 Å³/cell, VASP energy -4.32 eV/atom. Number 3: V 169 Å³/cell, VASP energy -4.13 eV/atom. Number 4: V 75 Å³/cell, VASP energy -3.45 eV/atom. Number 5: V 832 Å³/cell, VASP energy -1.75 eV/atom. Number 6: V 63 Å³/cell, VASP energy -4.48 eV/atom. Number 7: V 90 Å³/cell, VASP energy -9.48 eV/atom. Number 8: V 115 Å³/cell, VASP energy -11.18 eV/atom. Number 9: V 90 Å³/cell, VASP energy -4.57 eV/atom. Number 10: V 108 Å³/cell, VASP energy -5.73 eV/atom. Number 11: V 538 Å³/cell, VASP energy -5.27 eV/atom. Number 12: V 46 Å³/cell, VASP energy -6.54 eV/atom. Number 13: V 614 Å³/cell, VASP energy -2.69 eV/atom.